Crystalline Cs3Pm2RhO6 at its relaxed geometry. Source: Alexandria, functional PBE-GGA.

```
Cs3Pm2RhO6
1.0
6.142 0.001 0.003
-3.069 5.321 0.003
-1.022 -1.769 6.808
Cs Pm Rh O
3 2 1 6
Direct
0.163 0.837 0.500
0.837 0.163 0.500
0.500 0.500 0.500
0.333 0.667 0.000
0.667 0.333 0.000
0.000 0.000 0.000
0.945 0.633 0.835
0.743 0.743 0.167
0.055 0.367 0.165
0.633 0.945 0.835
0.257 0.257 0.833
0.367 0.055 0.165
```

## Properties
formation energy without anion corrections = -1.886 eV per atom
total magnetization = 0.000 Bohr magnetons per cell
final energy = -5.982 eV/atom
SG = No. 12


Crystalline CsPmRhO3 at its relaxed geometry. Source: Alexandria, functional PBE-GGA.

```
CsPmRhO3
1.0
3.860 0.000 0.000
-1.930 6.792 -0.022
0.000 -2.008 8.118
Cs Pm Rh O
2 2 2 6
Direct
0.359 0.719 0.938
0.641 0.281 0.062
0.653 0.306 0.571
0.347 0.694 0.429
0.008 0.017 0.312
0.992 0.983 0.688
0.851 0.702 0.255
0.828 0.656 0.614
0.509 0.019 0.316
0.172 0.344 0.386
0.491 0.981 0.684
0.149 0.298 0.745
```

## Properties
formation energy without anion corrections = -1.905 eV per atom
total magnetization = 0.000 Bohr magnetons per cell
DOS(E_F) = 2.8 states/eV per cell
final energy = -6.543 eV/atom
SG = No. 12


Crystalline CsPmRu2O8 at its relaxed geometry. Source: Alexandria, functional PBE-GGA.

```
CsPmRu2O8
1.0
6.067 0.000 0.000
-3.034 5.254 0.000
0.000 0.000 8.602
Cs Pm Ru O
1 1 2 8
Direct
0.000 0.000 0.000
0.000 0.000 0.500
0.667 0.333 0.259
0.333 0.667 0.741
0.333 0.667 0.944
0.345 0.193 0.331
0.807 0.151 0.331
0.667 0.333 0.056
0.193 0.849 0.669
0.655 0.807 0.669
0.151 0.345 0.669
0.849 0.655 0.331
```

## Properties
formation energy without anion corrections = -1.485 eV per atom
total magnetization = 4.029 Bohr magnetons per cell
DOS(E_F) = 2.2 states/eV per cell
final energy = -6.804 eV/atom
SG = No. 147


Crystalline CsPmS2O8 at its relaxed geometry. Source: Alexandria, functional PBE-GGA.

```
CsPmS2O8
1.0
-0.776 4.549 -3.028
-3.873 -1.627 3.579
3.844 4.912 6.393
Cs Pm S O
1 1 2 8
Direct
0.000 0.000 0.000
0.000 0.000 0.500
0.667 0.333 0.281
0.333 0.667 0.719
0.333 0.667 0.883
0.380 0.241 0.340
0.759 0.139 0.340
0.667 0.333 0.117
0.241 0.861 0.660
0.620 0.759 0.660
0.139 0.380 0.660
0.861 0.620 0.340
```

## Properties
formation energy without anion corrections = -2.088 eV per atom
total magnetization = 0.000 Bohr magnetons per cell
DOS(E_F) = 0.0 states/eV per cell
final energy = -6.548 eV/atom
SG = No. 147


Repeat the fourth record exactly.
Crystalline CsPmS2O8 at its relaxed geometry. Source: Alexandria, functional PBE-GGA.

```
CsPmS2O8
1.0
-0.776 4.549 -3.028
-3.873 -1.627 3.579
3.844 4.912 6.393
Cs Pm S O
1 1 2 8
Direct
0.000 0.000 0.000
0.000 0.000 0.500
0.667 0.333 0.281
0.333 0.667 0.719
0.333 0.667 0.883
0.380 0.241 0.340
0.759 0.139 0.340
0.667 0.333 0.117
0.241 0.861 0.660
0.620 0.759 0.660
0.139 0.380 0.660
0.861 0.620 0.340
```

## Properties
formation energy without anion corrections = -2.088 eV per atom
total magnetization = 0.000 Bohr magnetons per cell
DOS(E_F) = 0.0 states/eV per cell
final energy = -6.548 eV/atom
SG = No. 147